[1]
Entry from Alexandria via LeMat-Bulk: a geometry-optimized Ta2TlRu structure (PBE-GGA).

abc: 2.9879 2.9879 8.2165
angles: 90.00 90.00 90.00
Atoms (fractional coordinates):
1 Ta 0.0000 0.0000 0.2114
2 Ta 0.0000 0.0000 0.7886
3 Tl 0.5000 0.5000 0.5000
4 Ru 0.5000 0.5000 0.0000

Output
Uncorrected energy = -34.9 eV/cell
SG = P4/mmm, No. 123
Formation energy = 0.112 eV per atom
Energy above the most stable polymorph in this dataset = 0 meV/atom

[2]
Entry from Alexandria via LeMat-Bulk: a geometry-optimized Ta2TlRu structure (PBE-GGA).

abc: 4.0471 4.0471 4.3323
angles: 90.00 90.00 90.00
Atoms (fractional coordinates):
1 Ta 0.0000 0.5000 0.0000
2 Ta 0.5000 0.0000 0.0000
3 Tl 0.0000 0.0000 0.5000
4 Ru 0.5000 0.5000 0.5000

Output
Uncorrected energy = -34.3 eV/cell
SG = P4/mmm, No. 123
Formation energy = 0.260 eV per atom
Energy above the most stable polymorph in this dataset = 148 meV/atom